[1]
DFT (PBE+U) results for a relaxed PrMo2O8 crystal.

The magnetic moment comes out at 0.00 μB per cell. For the total energy, the calculation gives -148.352 eV for the cell shown.

The structure belongs to space group I422 (No. 97); the cell edges are 4.879, 4.879 and 11.651 Å and the angles 90.00°, 90.00° and 90.00°. The distinct sites, in fractional coordinates, are Pr at (0.000, 0.000, 0.000), Mo at (0.000, 0.500, 0.250) and O at (0.232, 0.267, 0.851).

[2]
DFT (PBE+U) results for a relaxed Pr2Mo3O12 crystal.

The magnetic moment comes out at 0.00 μB per cell. For the total energy, the calculation gives -256.649 eV for the cell shown.

The structure belongs to space group P-42_1m (No. 113); the cell edges are 7.682, 7.682 and 11.043 Å and the angles 90.00°, 90.00° and 90.00°. The distinct sites, in fractional coordinates, are Pr at (0.190, 0.310, 0.263), Mo at (0.000, 0.000, 0.000), Mo at (0.209, 0.291, 0.644), O at (0.002, 0.226, 0.702), O at (0.046, 0.184, 0.094), O at (0.128, 0.628, 0.309) and O at (0.198, 0.302, 0.484).

[3]
DFT (PBE+U) results for a relaxed Pr2MoO6 crystal.

The magnetic moment comes out at 0.00 μB per cell. For the total energy, the calculation gives -565.136 eV for the cell shown.

The structure belongs to space group C2/c (No. 15); the cell edges are 16.996, 11.623 and 5.630 Å and the angles 90.00°, 107.98° and 90.00°. The distinct sites, in fractional coordinates, are Pr at (0.000, 0.110, 0.250), Pr at (0.000, 0.368, 0.750), Pr at (0.173, 0.116, 0.882), Mo at (0.152, 0.355, 0.441), O at (0.076, 0.239, 0.585), O at (0.080, 0.464, 0.480), O at (0.093, 0.016, 0.078), O at (0.106, 0.279, 0.141), O at (0.227, 0.299, 0.733) and O at (0.230, 0.443, 0.364).

Which value of magnetic moment does entry 2 give? 0.00 μB per cell

Look up the magnetic moment of the second one. 0.00 μB per cell